No. 1
The following is a PBE calculation of crystalline Ta2TiTc at its relaxed geometry, from the Alexandria database.

Its total energy is -10.49 eV per atom.

a b c (Å): 3.0779 6.0263 7.7531
angles (deg): 90.00 90.00 104.80
With the nearest neighbours (Å) after each atom.
Fractional positions:
Ta: 0.3680 0.7360 0.5428  3 Tc 2.57-2.71, 2 Ti 2.84-2.85
Ta: 0.6320 0.2640 0.4572  3 Tc 2.57-2.71, 2 Ti 2.84-2.85
Ta: 0.6320 0.2640 0.0428  3 Tc 2.57-2.71, 2 Ti 2.84-2.85
Ta: 0.3680 0.7360 0.9572  3 Tc 2.57-2.71, 2 Ti 2.84-2.85
Ti: 0.9798 0.9597 0.2500  8 Ta 2.84-3.04, 2 Tc 2.94, 2 Ti 3.08
Ti: 0.0202 0.0403 0.7500  8 Ta 2.84-3.04, 2 Tc 2.94, 2 Ti 3.08
Tc: 0.2647 0.5294 0.2500  6 Ta 2.57-2.71
Tc: 0.7353 0.4706 0.7500  6 Ta 2.57-2.71

=====

No. 2
The following is a PBE calculation of crystalline TaTiTcW at its relaxed geometry, from the Alexandria database.

Its total energy is -10.36 eV per atom.

a b c (Å): 2.9062 2.9837 8.0135
angles (deg): 90.00 90.00 90.00
With the nearest neighbours (Å) after each atom.
Fractional positions:
Ta: 0.5000 0.5000 0.8009  4 Tc 2.72, 2 W 2.79, 4 Ta 2.91-2.98
Ti: 0.5000 0.5000 0.3820  4 Tc 2.63, 2 W 2.74, 2 Ti 2.91
Tc: 0.0000 0.0000 0.5830  4 Ti 2.63, 4 Ta 2.72, 2 Tc 2.91
W: 0.5000 0.0000 0.0948  2 Ti 2.74, 2 Ta 2.79, 4 W 2.91-2.98

=====

No. 3
The following is a PBE calculation of crystalline TaTiTcW at its relaxed geometry, from the Alexandria database.

Its total energy is -11.02 eV per atom.

a b c (Å): 4.4970 4.4970 4.4970
angles (deg): 60.00 60.00 60.00
With the nearest neighbours (Å) after each atom.
Fractional positions:
Ti: 0.2500 0.2500 0.2500  4 Tc 2.75, 4 W 2.75
Tc: 0.5000 0.5000 0.5000  4 Ta 2.75, 4 Ti 2.75
W: 0.0000 0.0000 0.0000  4 Ta 2.75, 4 Ti 2.75
Ta: 0.7500 0.7500 0.7500  4 W 2.75, 4 Tc 2.75

=====

No. 4
The following is a PBE calculation of crystalline TaTlTc at its relaxed geometry, from the Alexandria database.

Its total energy is -7.89 eV per atom.

a b c (Å): 5.4929 5.4929 5.4929
angles (deg): 144.53 144.53 51.03
With the nearest neighbours (Å) after each atom.
Fractional positions:
Ta: 0.9799 0.9799 0.0000  4 Tc 2.69
Tc: 0.3510 0.3510 0.0000  4 Ta 2.69, 4 Tl 2.98
Tl: 0.6691 0.6691 0.0000  5 Tc 2.98-3.15, 5 Ta 3.02-3.08

=====

No. 5
The following is a PBE calculation of crystalline TaTl2Tc at its relaxed geometry, from the Alexandria database.

Its total energy is -6.36 eV per atom.

a b c (Å): 3.0920 3.0920 10.2114
angles (deg): 90.00 90.00 113.70
With the nearest neighbours (Å) after each atom.
Fractional positions:
Ta: 0.0000 0.0000 0.5407  2 Tc 2.49
Tc: 0.5000 0.5000 0.7190  2 Ta 2.49
Tl: 0.0000 0.0000 0.9667  2 Tc 3.04, 6 Tl 3.09-3.38
Tl: 0.5000 0.5000 0.2736  6 Tl 3.09-3.38, 2 Ta 3.21

=====

No. 6
The following is a PBE calculation of crystalline TaTl2Tc at its relaxed geometry, from the Alexandria database.

Its total energy is -6.04 eV per atom.

a b c (Å): 5.7040 5.7040 5.7040
angles (deg): 146.98 127.48 63.45
With the nearest neighbours (Å) after each atom.
Fractional positions:
Ta: 0.7500 0.2500 0.5000  4 Tc 3.00, 4 Tl 3.00, 2 Ta 3.24
Tc: 0.2500 0.7500 0.5000  4 Tl 2.84, 4 Ta 3.00
Tl: 0.0101 0.0101 0.0000  2 Tc 2.84, 2 Ta 3.00, 4 Tl 3.01
Tl: 0.4899 0.4899 0.0000  2 Tc 2.84, 2 Ta 3.00, 4 Tl 3.01

=====

No. 7
The following is a PBE calculation of crystalline TaTl2Tc at its relaxed geometry, from the Alexandria database.

Its total energy is -5.97 eV per atom.

a b c (Å): 3.0762 3.0762 9.8016
angles (deg): 90.00 90.00 119.20
With the nearest neighbours (Å) after each atom.
Fractional positions:
Ta: 0.5000 0.5000 0.2500  4 Tl 2.98, 6 Ta 3.08-3.11
Tc: 0.5000 0.5000 0.7500  4 Tl 2.82, 6 Tc 3.08-3.11
Tl: 0.0000 0.0000 0.9902  2 Tc 2.82, 2 Ta 2.98, 6 Tl 3.08-3.11
Tl: 0.0000 0.0000 0.5098  2 Tc 2.82, 2 Ta 2.98, 6 Tl 3.08-3.11

=====

No. 8
The following is a PBE calculation of crystalline TaTlTc2 at its relaxed geometry, from the Alexandria database.

Its total energy is -8.54 eV per atom.

a b c (Å): 3.2442 3.2442 6.5974
angles (deg): 90.00 90.00 90.00
With the nearest neighbours (Å) after each atom.
Fractional positions:
Ta: 0.5000 0.5000 0.7500  8 Tc 2.74
Tc: 0.0000 0.0000 0.9765  4 Ta 2.74, 4 Tl 2.92, 1 Tc 2.99
Tc: 0.0000 0.0000 0.5235  4 Ta 2.74, 4 Tl 2.92, 1 Tc 2.99
Tl: 0.5000 0.5000 0.2500  8 Tc 2.92, 4 Tl 3.24

=====

No. 9
The following is a PBE calculation of crystalline TaTlTc at its relaxed geometry, from the Alexandria database.

Its total energy is -7.82 eV per atom.

a b c (Å): 7.4984 7.2267 3.0380
angles (deg): 83.16 73.12 23.72
With the nearest neighbours (Å) after each atom.
Fractional positions:
Ta: 0.0169 0.0169 0.9831  2 Tc 2.51
Tc: 0.6532 0.6532 0.3468  2 Ta 2.51
Tl: 0.3299 0.3299 0.6701  2 Tc 2.97, 6 Tl 3.04-3.23, 2 Ta 3.09

=====

No. 10
The following is a PBE calculation of crystalline TaTlTc2 at its relaxed geometry, from the Alexandria database.

Its total energy is -8.10 eV per atom.

a b c (Å): 4.6105 4.6105 4.6105
angles (deg): 60.00 60.00 60.00
With the nearest neighbours (Å) after each atom.
Fractional positions:
Ta: 0.5000 0.5000 0.5000  4 Tl 2.82, 4 Tc 2.82
Tc: 0.0000 0.0000 0.0000  4 Tl 2.82, 4 Tc 2.82
Tc: 0.2500 0.2500 0.2500  4 Ta 2.82, 4 Tc 2.82
Tl: 0.7500 0.7500 0.7500  4 Tc 2.82, 4 Ta 2.82

=====

No. 11
The following is a PBE calculation of crystalline TaTl2Tc at its relaxed geometry, from the Alexandria database.

Its total energy is -5.92 eV per atom.

a b c (Å): 3.0465 3.0465 8.5531
angles (deg): 90.00 90.00 90.00
With the nearest neighbours (Å) after each atom.
Fractional positions:
Ta: 0.5000 0.5000 0.2500  4 Ta 3.05, 8 Tl 3.11
Tc: 0.5000 0.5000 0.7500  8 Tl 2.96, 4 Tc 3.05
Tl: 0.0000 0.0000 0.9882  4 Tc 2.96, 4 Tl 3.05, 4 Ta 3.11
Tl: 0.0000 0.0000 0.5118  4 Tc 2.96, 4 Tl 3.05, 4 Ta 3.11

=====

No. 12
The following is a PBE calculation of crystalline TaTl2Tc at its relaxed geometry, from the Alexandria database.

Its total energy is -6.03 eV per atom.

a b c (Å): 3.3002 4.9756 4.8297
angles (deg): 90.00 90.00 90.00
With the nearest neighbours (Å) after each atom.
Fractional positions:
Ta: 0.5000 0.0000 0.5000  4 Tl 2.92, 4 Tc 2.99
Tc: 0.0000 0.5000 0.5000  4 Tl 2.92, 4 Ta 2.99
Tl: 0.0000 0.0000 0.0000  4 Ta 2.92, 4 Tl 2.99
Tl: 0.5000 0.5000 0.0000  4 Tc 2.92, 4 Tl 2.99

=====

No. 13
The following is a PBE calculation of crystalline TaTlTc at its relaxed geometry, from the Alexandria database.

Its total energy is -7.22 eV per atom.

a b c (Å): 4.5189 4.5189 4.5189
angles (deg): 60.00 60.00 60.00
With the nearest neighbours (Å) after each atom.
Fractional positions:
Ta: 0.7500 0.7500 0.7500  4 Tl 2.77, 4 Tc 2.77
Tc: 0.0000 0.0000 0.0000  4 Ta 2.77
Tl: 0.5000 0.5000 0.5000  4 Ta 2.77

=====

No. 14
The following is a PBE calculation of crystalline TaTl2Tc at its relaxed geometry, from the Alexandria database.

Its total energy is -5.90 eV per atom.

a b c (Å): 5.3802 5.3802 5.3802
angles (deg): 134.04 134.04 67.02
With the nearest neighbours (Å) after each atom.
Fractional positions:
Ta: 0.2500 0.7500 0.5000  4 Tc 2.97, 8 Tl 3.07
Tc: 0.7500 0.2500 0.5000  4 Ta 2.97, 8 Tl 3.07
Tl: 0.0000 0.0000 0.0000  4 Tl 2.97, 4 Ta 3.07, 4 Tc 3.07
Tl: 0.5000 0.5000 0.0000  4 Tl 2.97, 4 Tc 3.07, 4 Ta 3.07

=====

No. 15
The following is a PBE calculation of crystalline TaTlTc2 at its relaxed geometry, from the Alexandria database.

Its total energy is -8.43 eV per atom.

a b c (Å): 2.9261 2.9261 9.0458
angles (deg): 90.00 90.00 113.24
With the nearest neighbours (Å) after each atom.
Fractional positions:
Ta: 0.5000 0.5000 0.7500  4 Tc 2.62, 4 Ta 2.93
Tc: 0.0000 0.0000 0.9789  2 Ta 2.62, 4 Tc 2.93, 2 Tl 2.93
Tc: 0.0000 0.0000 0.5211  2 Ta 2.62, 4 Tc 2.93, 2 Tl 2.93
Tl: 0.5000 0.5000 0.2500  6 Tl 2.93-3.22, 4 Tc 2.93

=====

Let's list formation energy in order: 0.004; 0.403; -0.254; 0.306; 0.377; 0.693; 0.767; 0.194; 0.373; 0.637; 0.821; 0.707; 0.972; 0.842; 0.313 eV/atom.